Below is crystalline La6NdZn2 at its relaxed geometry, with properties calculated at the PBE level.

```
La6NdZn2
1.0
-3.432 2.933 -2.489
-1.841 -4.181 -2.388
-7.313 -1.517 8.295
Zn La Nd
2 6 1
direct
0.500 0.500 0.894
0.500 0.500 0.106
0.500 0.500 0.500
0.000 0.500 0.258
0.500 0.000 0.258
0.000 0.000 0.500
0.000 0.500 0.742
0.500 0.000 0.742
0.000 0.000 0.000
```

space-group type: P4/mmm, No. 123
crystal system: tetragonal
uncorrected energy: -37.02 eV per cell
energy relative to the elements: -16 meV/atom